A.
DFT (PBE) results for crystalline Cu2TcOs at its relaxed geometry.

Structure (POSCAR):
```
Cu2TcOs
1.0
4.201 0.000 0.000
0.000 4.201 0.000
0.000 0.000 2.968
Cu Tc Os
2 1 1
Cartesian
0.000 2.100 0.000 Cu
2.100 0.000 0.000 Cu
0.000 0.000 1.484 Tc
2.100 2.100 1.484 Os
```

Computed properties:
total magnetization	0.0	Bohr magnetons per cell

---

B.
DFT (PBE) results for crystalline Cu2TcOs at its relaxed geometry.

Structure (POSCAR):
```
Cu2TcOs
1.0
1.524 -2.054 0.000
1.524 2.054 0.000
0.000 0.000 8.699
Cu Tc Os
2 1 1
Cartesian
0.000 0.000 2.177 Cu
0.000 0.000 6.522 Cu
1.524 0.000 0.000 Tc
1.524 0.000 4.349 Os
```

Computed properties:
total magnetization	0.0	Bohr magnetons per cell

---

C.
DFT (PBE) results for crystalline Cu2TcOs at its relaxed geometry.

Structure (POSCAR):
```
Cu2TcOs
1.0
-1.893 1.893 3.692
1.893 -1.893 3.692
1.893 1.893 -3.692
Cu Tc Os
2 1 1
Cartesian
0.000 0.000 0.000 Cu
0.000 1.893 1.846 Cu
1.893 0.000 1.846 Tc
0.000 0.000 3.692 Os
```

Computed properties:
total magnetization	0.0	Bohr magnetons per cell

---

D.
DFT (PBE) results for crystalline Cu2TcOs at its relaxed geometry.

Structure (POSCAR):
```
Cu2TcOs
1.0
0.000 3.000 3.000
3.000 0.000 3.000
3.000 3.000 0.000
Cu Tc Os
2 1 1
Cartesian
0.000 0.000 0.000 Cu
1.500 1.500 1.500 Cu
4.499 4.499 4.499 Tc
3.000 3.000 3.000 Os
```

Computed properties:
total magnetization	0.0	Bohr magnetons per cell

---

Short version: C, D, B, A, most stable first.

---

A.
DFT (PBE) results for crystalline CuTe2Os at its relaxed geometry.

Structure (POSCAR):
```
CuTe2Os
1.0
0.000 3.351 3.351
3.351 0.000 3.351
3.351 3.351 0.000
Cu Te Os
1 2 1
Cartesian
0.000 0.000 0.000 Cu
1.676 1.676 1.676 Te
5.027 5.027 5.027 Te
3.351 3.351 3.351 Os
```

Computed properties:
total magnetization	0.0	Bohr magnetons per cell

---

B.
DFT (PBE) results for crystalline CuTe2Os at its relaxed geometry.

Structure (POSCAR):
```
CuTe2Os
1.0
3.234 0.000 0.000
0.000 3.256 0.000
-0.227 0.000 7.309
Cu Te Os
1 2 1
Cartesian
0.000 0.000 0.000 Cu
1.471 1.628 1.920 Te
1.536 1.628 5.389 Te
-0.113 0.000 3.654 Os
```

Computed properties:
total magnetization	0.0	Bohr magnetons per cell

---

C.
DFT (PBE) results for crystalline CuTe2Os at its relaxed geometry.

Structure (POSCAR):
```
CuTe2Os
1.0
0.000 3.387 3.387
3.387 0.000 3.387
3.387 3.387 0.000
Cu Te Os
1 2 1
Cartesian
0.000 0.000 0.000 Cu
1.694 1.694 1.694 Te
3.387 3.387 3.387 Te
5.081 5.081 5.081 Os
```

Computed properties:
total magnetization	0.0	Bohr magnetons per cell

---

D.
DFT (PBE) results for crystalline CuTe2Os at its relaxed geometry.

Structure (POSCAR):
```
CuTe2Os
1.0
3.323 0.000 0.000
0.000 4.674 0.000
0.000 0.000 4.897
Cu Te Os
1 2 1
Cartesian
0.000 0.000 0.000 Cu
1.662 0.000 2.448 Te
1.662 2.337 0.000 Te
0.000 2.337 2.448 Os
```

Computed properties:
total magnetization	0.0	Bohr magnetons per cell

---

Short version: A, B, D, C, most stable first.

---

A.
DFT (PBE) results for crystalline CuTe2Os at its relaxed geometry.

Structure (POSCAR):
```
CuTe2Os
1.0
1.666 -2.783 0.000
1.666 2.783 0.000
0.000 0.000 8.700
Cu Te Os
1 2 1
Cartesian
0.000 0.000 0.000 Cu
1.666 0.000 2.200 Te
1.666 0.000 6.500 Te
0.000 0.000 4.350 Os
```

Computed properties:
total magnetization	0.0	Bohr magnetons per cell

---

B.
DFT (PBE) results for crystalline CuTe2Os at its relaxed geometry.

Structure (POSCAR):
```
CuTe2Os
1.0
-2.009 2.009 4.775
2.009 -2.009 4.775
2.009 2.009 -4.775
Cu Te Os
1 2 1
Cartesian
0.000 0.000 0.000 Cu
0.000 0.000 4.775 Te
0.000 2.009 2.388 Te
2.009 0.000 2.388 Os
```

Computed properties:
total magnetization	0.0	Bohr magnetons per cell

---

Short version: A, B, most stable first.

---

A.
DFT (PBE) results for crystalline CuTe2Os at its relaxed geometry.

Structure (POSCAR):
```
CuTe2Os
1.0
-2.987 2.987 5.841
2.987 -2.987 5.841
2.987 2.987 -5.841
Cu Te Os
2 4 2
Cartesian
0.000 0.000 0.000 Cu
0.000 2.987 2.921 Cu
1.493 -1.472 4.381 Te
1.514 1.493 1.460 Te
1.493 4.459 -1.460 Te
1.472 1.493 7.302 Te
2.987 0.000 2.921 Os
0.000 0.000 5.841 Os
```

Computed properties:
total magnetization	0.0	Bohr magnetons per cell

---

B.
DFT (PBE) results for crystalline CuTe2Os at its relaxed geometry.

Structure (POSCAR):
```
CuTe2Os
1.0
-1.593 2.089 6.355
1.593 -2.089 6.355
1.593 2.089 -6.355
Cu Te Os
1 2 1
Cartesian
0.000 0.000 0.000 Cu
0.000 0.000 4.766 Te
0.000 2.089 1.754 Te
1.593 0.000 2.589 Os
```

Computed properties:
total magnetization	0.0	Bohr magnetons per cell

---

C.
DFT (PBE) results for crystalline CuTe2Os at its relaxed geometry.

Structure (POSCAR):
```
CuTe2Os
1.0
4.333 0.000 0.000
0.000 4.909 0.000
-1.411 0.000 4.123
Cu Te Os
1 2 1
Cartesian
0.000 0.000 0.000 Cu
0.689 0.000 2.605 Te
3.375 2.454 0.683 Te
-0.251 2.454 3.284 Os
```

Computed properties:
total magnetization	0.0	Bohr magnetons per cell

---

D.
DFT (PBE) results for crystalline CuTe2Os at its relaxed geometry.

Structure (POSCAR):
```
CuTe2Os
1.0
3.405 -1.906 0.000
3.405 1.906 0.000
-2.126 0.000 6.521
Cu Te Os
1 2 1
Cartesian
0.000 0.000 0.000 Cu
0.105 0.000 4.768 Te
4.579 0.000 1.753 Te
2.342 0.000 3.261 Os
```

Computed properties:
total magnetization	0.0	Bohr magnetons per cell

---

Short version: C, A, D, B, most stable first.

---

A.
DFT (PBE) results for crystalline CuTeOs at its relaxed geometry.

Structure (POSCAR):
```
CuTeOs
1.0
0.000 3.047 3.047
3.047 0.000 3.047
3.047 3.047 0.000
Cu Te Os
1 1 1
Cartesian
0.000 0.000 0.000 Cu
3.047 3.047 3.047 Te
1.524 1.524 1.524 Os
```

Computed properties:
total magnetization	0.0	Bohr magnetons per cell

---

B.
DFT (PBE) results for crystalline CuTeOs at its relaxed geometry.

Structure (POSCAR):
```
CuTeOs
1.0
0.000 2.554 6.794
1.560 0.000 6.794
1.560 2.554 0.000
Cu Te Os
1 1 1
Cartesian
0.000 0.000 0.000 Cu
1.560 2.554 4.194 Te
1.560 2.554 8.797 Os
```

Computed properties:
total magnetization	0.5	Bohr magnetons per cell

---

C.
DFT (PBE) results for crystalline CuTeOs at its relaxed geometry.

Structure (POSCAR):
```
CuTeOs
1.0
-1.573 1.573 5.586
1.573 -1.573 5.586
1.573 1.573 -5.586
Cu Te Os
1 1 1
Cartesian
0.000 0.000 0.000 Cu
0.000 0.000 3.055 Te
0.000 0.000 7.119 Os
```

Computed properties:
total magnetization	0.0	Bohr magnetons per cell

---

Short version: A, C, B, most stable first.

---

A.
DFT (PBE) results for crystalline CuTeOs at its relaxed geometry.

Structure (POSCAR):
```
CuTeOs
1.0
-1.721 1.721 4.123
1.721 -1.721 4.123
1.721 1.721 -4.123
Cu Te Os
1 1 1
Cartesian
0.000 0.000 0.000 Cu
0.000 0.000 2.642 Te
0.000 0.000 5.439 Os
```

Computed properties:
total magnetization	0.5	Bohr magnetons per cell

---

B.
DFT (PBE) results for crystalline CuTeOs at its relaxed geometry.

Structure (POSCAR):
```
CuTeOs
1.0
3.148 0.000 0.000
-1.574 2.726 0.000
0.000 0.000 6.158
Cu Te Os
1 1 1
Cartesian
0.000 0.000 0.000 Cu
0.000 1.817 3.877 Te
1.574 0.909 1.924 Os
```

Computed properties:
total magnetization	0.0	Bohr magnetons per cell

---

Short version: A, B, most stable first.

---

A.
DFT (PBE) results for crystalline TiCuOs3 at its relaxed geometry.

Structure (POSCAR):
```
TiCuOs3
1.0
4.408 0.000 0.000
0.000 4.408 0.000
0.000 0.000 4.408
Ti Cu Os
1 1 3
Cartesian
0.000 0.000 0.000 Ti
2.204 2.204 2.204 Cu
0.000 2.204 2.204 Os
2.204 0.000 2.204 Os
2.204 2.204 0.000 Os
```

Computed properties:
total magnetization	0.0	Bohr magnetons per cell

---

B.
DFT (PBE) results for crystalline TiCuOs3 at its relaxed geometry.

Structure (POSCAR):
```
TiCuOs3
1.0
4.532 0.000 0.000
0.000 4.532 0.000
0.000 0.000 4.532
Ti Cu Os
1 1 3
Cartesian
0.000 0.000 0.000 Ti
2.266 2.266 2.266 Cu
0.000 0.000 2.266 Os
0.000 2.266 0.000 Os
2.266 0.000 0.000 Os
```

Computed properties:
total magnetization	1.7	Bohr magnetons per cell

---

Short version: A, B, most stable first.

---

A.
DFT (PBE) results for crystalline TlCu2Os at its relaxed geometry.

Structure (POSCAR):
```
TlCu2Os
1.0
0.000 3.145 3.145
3.145 0.000 3.145
3.145 3.145 0.000
Tl Cu Os
1 2 1
Cartesian
0.000 0.000 0.000 Tl
1.572 1.572 1.572 Cu
3.145 3.145 3.145 Cu
4.717 4.717 4.717 Os
```

Computed properties:
total magnetization	0.0	Bohr magnetons per cell

---

B.
DFT (PBE) results for crystalline TlCu2Os at its relaxed geometry.

Structure (POSCAR):
```
TlCu2Os
1.0
4.241 0.000 0.000
0.000 1.387 5.259
0.000 -1.387 5.259
Tl Cu Os
1 2 1
Cartesian
0.000 0.000 0.000 Tl
0.000 0.000 7.864 Cu
2.120 0.000 6.546 Cu
2.120 0.000 3.590 Os
```

Computed properties:
total magnetization	0.0	Bohr magnetons per cell

---

Short version: B, A, most stable first.

---

A.
DFT (PBE) results for crystalline TlCu2Os at its relaxed geometry.

Structure (POSCAR):
```
TlCu2Os
1.0
-2.038 2.038 3.675
2.038 -2.038 3.675
2.038 2.038 -3.675
Tl Cu Os
1 2 1
Cartesian
0.000 0.000 0.000 Tl
2.038 0.000 1.838 Cu
0.000 2.038 1.838 Cu
0.000 0.000 3.675 Os
```

Computed properties:
total magnetization	0.0	Bohr magnetons per cell

---

B.
DFT (PBE) results for crystalline TlCu2Os at its relaxed geometry.

Structure (POSCAR):
```
TlCu2Os
1.0
3.006 0.000 0.000
0.000 3.006 0.000
0.000 0.000 6.861
Tl Cu Os
1 2 1
Cartesian
0.000 0.000 0.000 Tl
0.000 0.000 3.333 Cu
1.503 1.503 1.999 Cu
1.503 1.503 4.787 Os
```

Computed properties:
total magnetization	0.0	Bohr magnetons per cell

---

C.
DFT (PBE) results for crystalline TlCu2Os at its relaxed geometry.

Structure (POSCAR):
```
TlCu2Os
1.0
2.827 0.000 0.000
0.000 2.827 0.000
0.000 0.000 8.232
Tl Cu Os
1 2 1
Cartesian
0.000 0.000 0.000 Tl
1.413 1.413 2.413 Cu
1.413 1.413 5.818 Cu
0.000 0.000 4.116 Os
```

Computed properties:
total magnetization	0.3	Bohr magnetons per cell

---

Short version: C, B, A, most stable first.

---

A.
DFT (PBE) results for crystalline Tl2CuOs at its relaxed geometry.

Structure (POSCAR):
```
Tl2CuOs
1.0
6.479 -1.493 0.000
6.479 1.493 0.000
-1.655 0.000 4.338
Tl Cu Os
2 1 1
Cartesian
0.000 0.000 0.000 Tl
1.645 0.000 3.123 Tl
4.399 0.000 1.689 Cu
8.901 0.000 0.935 Os
```

Computed properties:
total magnetization	0.0	Bohr magnetons per cell

---

B.
DFT (PBE) results for crystalline Tl2CuOs at its relaxed geometry.

Structure (POSCAR):
```
Tl2CuOs
1.0
1.564 -2.733 0.000
1.564 2.733 0.000
0.000 0.000 9.101
Tl Cu Os
2 1 1
Cartesian
0.000 0.000 2.245 Tl
0.000 0.000 6.855 Tl
1.564 0.000 0.000 Cu
1.564 0.000 4.550 Os
```

Computed properties:
total magnetization	0.0	Bohr magnetons per cell

---

Short version: A, B, most stable first.

---

A.
DFT (PBE) results for crystalline Tl2CuOs at its relaxed geometry.

Structure (POSCAR):
```
Tl2CuOs
1.0
3.088 -3.684 0.000
3.088 3.684 0.000
0.000 0.000 3.270
Tl Cu Os
2 1 1
Cartesian
1.544 1.842 0.000 Tl
1.544 -1.842 0.000 Tl
0.000 0.000 1.635 Cu
3.088 0.000 1.635 Os
```

Computed properties:
total magnetization	0.0	Bohr magnetons per cell

---

B.
DFT (PBE) results for crystalline Tl2CuOs at its relaxed geometry.

Structure (POSCAR):
```
Tl2CuOs
1.0
3.525 0.000 0.000
0.000 4.261 0.000
-1.761 0.000 5.177
Tl Cu Os
2 1 1
Cartesian
0.000 0.000 0.000 Tl
0.007 2.130 3.089 Tl
1.772 2.130 0.854 Cu
1.769 0.000 2.324 Os
```

Computed properties:
total magnetization	0.0	Bohr magnetons per cell

---

Short version: B, A, most stable first.